No. 1
Material: Sm3DyY4
Method: DFT, PBE-GGA
State: relaxed

Summary:
The calculation puts the final energy at -5.3957 eV per atom. The calculation puts the energy above the most stable polymorph in this dataset at 16.2 kJ/mol of atoms. The mass density comes out at 6.01 g cm⁻³. The energy of formation from the pure elements is 0.181 eV/atom. As for the crystal system: orthorhombic. As for the symmetry: Immm.

Unit cell a=3.472 b=6.748 c=15.368 alpha=131.21 beta=96.49 gamma=90.00
Fractional positions:
Y (0.624, 0.628, 0.249)
Y (0.624, 0.119, 0.249)
Y (0.376, 0.881, 0.751)
Y (0.376, 0.372, 0.751)
Dy (0.500, 0.000, 0.000)
Sm (0.240, 0.219, 0.479)
Sm (0.760, 0.781, 0.521)
Sm (0.000, 0.500, 0.000)

---

No. 2
Material: GdErCdOs
Method: DFT, PBE-GGA
State: relaxed

Summary:
The calculation puts the final energy at -7.8973 eV per atom. The mass density comes out at 11.66 g cm⁻³. The energy of formation from the pure elements is -0.200 eV/atom. As for the crystal system: cubic. As for the symmetry: F-43m.

Unit cell a=5.017 b=5.017 c=5.017 alpha=60.00 beta=60.00 gamma=60.00
Site moments in Bohr magnetons follow the coordinates.
Fractional positions:
Er (0.500, 0.500, 0.500)  0.03
Os (0.250, 0.250, 0.250)  -0.12
Cd (0.750, 0.750, 0.750)  0.00
Gd (0.000, 0.000, 0.000)  7.03

---

No. 3
Material: Mn4FeCo
Method: DFT, PBE-GGA
State: relaxed

Summary:
The calculation puts the final energy at -8.5807 eV per atom. The calculation puts the energy above the most stable polymorph in this dataset at 1.2 kJ/mol of atoms. The mass density comes out at 8.32 g cm⁻³. The energy of formation from the pure elements is 0.127 eV/atom. As for the crystal system: orthorhombic. As for the symmetry: Cmmm.

Unit cell a=4.720 b=4.720 c=3.944 alpha=90.01 beta=90.01 gamma=49.43
Site moments in Bohr magnetons follow the coordinates.
Fractional positions:
Mn (0.831, 0.831, 0.500)  1.29
Mn (0.670, 0.670, 0.000)  0.97
Mn (0.169, 0.169, 0.500)  1.29
Mn (0.330, 0.330, 0.000)  0.97
Fe (0.500, 0.500, 0.500)  2.29
Co (0.000, 0.000, 0.000)  1.64

---

No. 4
Material: ZnFe2Pb
Method: DFT, PBE-GGA
State: relaxed

Summary:
The calculation puts the final energy at -4.9598 eV per atom. The mass density comes out at 9.06 g cm⁻³. The energy of formation from the pure elements is 0.517 eV/atom. As for the crystal system: trigonal. As for the symmetry: R3m.

Unit cell a=6.314 b=6.314 c=6.314 alpha=34.07 beta=34.07 gamma=34.07
Site moments in Bohr magnetons follow the coordinates.
Fractional positions:
Fe (0.288, 0.288, 0.288)  0.18
Fe (0.977, 0.977, 0.977)  0.41
Pb (0.515, 0.515, 0.515)  -0.02
Zn (0.719, 0.719, 0.719)  -0.01

---

No. 5
Material: SrAg2TeBr
Method: DFT, PBE-GGA
State: relaxed

Summary:
The calculation puts the final energy at -2.8898 eV per atom. The mass density comes out at 4.58 g cm⁻³. As for the crystal system: tetragonal. As for the symmetry: P4/mmm. As for the formation energy without anion corrections: -0.450 eV/atom.

Unit cell a=5.351 b=6.472 c=5.351 alpha=90.00 beta=90.00 gamma=90.00
Fractional positions:
Sr (0.000, 0.500, 0.000)
Ag (0.000, 0.000, 0.500)
Ag (0.500, 0.000, 0.000)
Br (0.500, 0.500, 0.500)
Te (0.000, 0.000, 0.000)

---

No. 6
Material: K2Zn2As
Method: DFT, PBE-GGA
State: relaxed

Summary:
The calculation puts the final energy at -1.9371 eV per atom. The calculation puts the energy above the most stable polymorph in this dataset at 0.0 kJ/mol of atoms. The mass density comes out at 3.44 g cm⁻³. The energy of formation from the pure elements is -0.059 eV/atom. As for the crystal system: tetragonal. As for the symmetry: P4/mbm.

Unit cell a=7.090 b=7.090 c=5.446 alpha=90.00 beta=90.00 gamma=90.00
Fractional positions:
As (0.500, 0.500, 0.000)
As (0.000, 0.000, 0.000)
K (0.191, 0.691, 0.500)
K (0.691, 0.809, 0.500)
K (0.309, 0.191, 0.500)
K (0.809, 0.309, 0.500)
Zn (0.873, 0.627, 0.000)
Zn (0.127, 0.373, 0.000)
Zn (0.373, 0.873, 0.000)
Zn (0.627, 0.127, 0.000)